Computed, not measured: ScCoN2O after structural relaxation at the PBE+U level of DFT.

Properties
Density of states at the Fermi level in states/eV per atom: 0.339
Calculated total energy in eV per atom: -6.818
Density in Mg/m³: 4.85

abc: 3.5915 3.5915 3.9260
angles: 90.00 90.00 90.00
With the nearest neighbours (Å) after each atom.
Fractional coordinates of all 5 atoms:
Sc  0.0000  0.0000  0.0000  4 O 2.54, 8 N 2.66
Co  0.5000  0.5000  0.5000  4 N 1.80, 2 O 1.96
N  0.0000  0.5000  0.5000  2 Co 1.80
N  0.5000  0.0000  0.5000  2 Co 1.80
O  0.5000  0.5000  0.0000  2 Co 1.96